{
  "formula": "TlAgSn",
  "functional": "GGA-PBE",
  "state": "relaxed",
  "final_energy_ev_per_atom": -3.01,
  "formation_energy_ev_per_atom": 0.060,
  "vol_a3_per_cell": 154.53,
  "space_group": "P1, No. 1",
  "dos_ef_per_ev_cell": 2.36,
  "cell": [[5.887, 0.000, 0.000], [-2.682, 5.241, 0.000], [-0.960, -2.964, 5.009]],
  "species": ["Tl", "Tl", "Ag", "Ag", "Sn", "Sn"],
  "frac_coords": [[0.000, 0.000, 0.000], [0.230, 0.498, 0.731], [0.115, 0.748, 0.365], [0.615, 0.249, 0.366], [0.614, 0.248, 0.865], [0.616, 0.749, 0.365]]
}


{
  "formula": "Hf2BeBr",
  "functional": "GGA-PBE",
  "state": "relaxed",
  "raw_formation_energy_ev_per_fu": 1.09,
  "final_energy_ev_per_atom": -6.05,
  "vol_a3_per_cell": 72.40,
  "space_group": "Fm-3m, No. 225",
  "dos_ef_per_ev_cell": 5.03,
  "cell": [[0.000, 3.308, 3.308], [3.308, 0.000, 3.308], [3.308, 3.308, 0.000]],
  "species": ["Hf", "Hf", "Be", "Br"],
  "frac_coords": [[0.250, 0.250, 0.250], [0.750, 0.750, 0.750], [0.000, 0.000, 0.000], [0.500, 0.500, 0.500]]
}


{
  "formula": "Re4PtBr",
  "functional": "GGA-PBE",
  "state": "relaxed",
  "raw_formation_energy_ev_per_fu": 6.94,
  "final_energy_ev_per_atom": -8.43,
  "vol_a3_per_cell": 102.09,
  "space_group": "F-43m, No. 216",
  "dos_ef_per_ev_cell": 8.83,
  "cell": [[0.000, 3.710, 3.710], [3.710, 0.000, 3.710], [3.710, 3.710, 0.000]],
  "species": ["Re", "Re", "Re", "Re", "Pt", "Br"],
  "frac_coords": [[0.124, 0.124, 0.124], [0.124, 0.124, 0.627], [0.124, 0.627, 0.124], [0.627, 0.124, 0.124], [0.750, 0.750, 0.750], [0.500, 0.500, 0.500]]
}


{
  "formula": "TbPaPd2",
  "functional": "GGA-PBE",
  "state": "relaxed",
  "final_energy_ev_per_atom": -6.65,
  "formation_energy_ev_per_atom": -0.525,
  "vol_a3_per_cell": 96.01,
  "space_group": "R-3m, No. 166",
  "dos_ef_per_ev_cell": 3.83,
  "cell": [[1.952, 1.127, 7.275], [-1.952, 1.127, 7.275], [0.000, -2.254, 7.275]],
  "species": ["Tb", "Pa", "Pd", "Pd"],
  "frac_coords": [[0.000, 0.000, 0.000], [0.500, 0.500, 0.500], [0.245, 0.245, 0.245], [0.755, 0.755, 0.755]]
}


{
  "formula": "LiGdZr2",
  "functional": "GGA-PBE",
  "state": "relaxed",
  "final_energy_ev_per_atom": -8.03,
  "formation_energy_ev_per_atom": 0.242,
  "vol_a3_per_cell": 97.12,
  "space_group": "R-3m, No. 166",
  "dos_ef_per_ev_cell": 5.16,
  "cell": [[1.603, 0.925, 10.911], [-1.603, 0.925, 10.911], [0.000, -1.851, 10.911]],
  "species": ["Li", "Gd", "Zr", "Zr"],
  "frac_coords": [[0.000, 0.000, 0.000], [0.500, 0.500, 0.500], [0.251, 0.251, 0.251], [0.749, 0.749, 0.749]]
}


{
  "formula": "Nd4CuSCl2",
  "functional": "GGA-PBE",
  "state": "relaxed",
  "raw_formation_energy_ev_per_fu": -10.07,
  "final_energy_ev_per_atom": -5.13,
  "vol_a3_per_cell": 203.20,
  "space_group": "P2/m, No. 10",
  "dos_ef_per_ev_cell": 4.82,
  "cell": [[7.103, 0.000, 0.000], [0.000, 4.044, 0.000], [-2.373, 0.000, 7.074]],
  "species": ["Nd", "Nd", "Nd", "Nd", "Cu", "S", "Cl", "Cl"],
  "frac_coords": [[0.234, 0.000, 0.221], [0.261, 0.500, 0.778], [0.739, 0.500, 0.222], [0.766, 0.000, 0.779], [0.500, 0.000, 0.000], [0.000, 0.500, 0.000], [0.000, 0.000, 0.500], [0.500, 0.500, 0.500]]
}


{
  "formula": "Nd4Ge2N",
  "functional": "GGA-PBE",
  "state": "relaxed",
  "raw_formation_energy_ev_per_fu": -6.00,
  "final_energy_ev_per_atom": -6.09,
  "vol_a3_per_cell": 365.67,
  "space_group": "Cmce, No. 64",
  "dos_ef_per_ev_cell": 8.33,
  "cell": [[3.357, -7.669, 0.000], [3.357, 7.669, 0.000], [0.000, 0.000, 7.102]],
  "species": ["Nd", "Nd", "Nd", "Nd", "Nd", "Nd", "Nd", "Nd", "Ge", "Ge", "Ge", "Ge", "N", "N"],
  "frac_coords": [[0.173, 0.827, 0.940], [0.231, 0.269, 0.750], [0.269, 0.231, 0.250], [0.327, 0.673, 0.440], [0.673, 0.327, 0.560], [0.731, 0.769, 0.750], [0.769, 0.731, 0.250], [0.827, 0.173, 0.060], [0.135, 0.865, 0.527], [0.365, 0.635, 0.027], [0.635, 0.365, 0.973], [0.865, 0.135, 0.473], [0.000, 0.000, 0.000], [0.500, 0.500, 0.500]]
}


{
  "formula": "Pu2CoH",
  "functional": "GGA-PBE",
  "state": "relaxed",
  "final_energy_ev_per_atom": -9.75,
  "vol_a3_per_cell": 64.85,
  "space_group": "P4/mmm, No. 123",
  "dos_ef_per_ev_cell": 11.03,
  "cell": [[3.106, 0.000, 0.000], [0.000, 3.106, 0.000], [0.000, 0.000, 6.722]],
  "species": ["Pu", "Pu", "Co", "H"],
  "frac_coords": [[0.000, 0.000, 0.236], [0.000, 0.000, 0.764], [0.500, 0.500, 0.500], [0.500, 0.500, 0.000]]
}